Computed, not measured: crystalline Mn2PF at its relaxed geometry at the PBE with a Hubbard U level of DFT.

- N(E_F) (states/eV/f.u.) = 0.10
- ΔE to the lowest computed polymorph (meV per atom) = 0
- space-group type = No. 122
- calculated total energy (eV/atom) = -6.348

The structure in POSCAR format:
```
Mn2PF
1.0
-2.335 4.645 -0.633
-1.853 -1.564 -4.642
-6.993 -0.559 0.025
P Mn F
2 4 2
Direct
0.750 0.250 0.500
0.000 0.000 0.000
0.375 0.398 0.750
0.875 0.852 0.750
0.602 0.125 0.250
0.148 0.625 0.250
0.250 0.750 0.500
0.500 0.500 0.000
```